Record 1
First-principles (PBE-GGA) data for a geometry-optimized Ac2Ni12Ge3Ir structure, as listed in Alexandria.

```
Ac2Ni12Ge3Ir
1.0
-5.426 5.411 1.031
-7.092 -1.179 -2.846
-5.837 -1.393 4.875
Ni Ac Ge Ir
12 2 3 1
Cartesian
-14.390 1.471 1.064
-3.965 1.368 1.996
-12.474 3.110 4.169
-5.881 -0.271 -1.109
-13.975 1.400 3.623
-4.517 -0.817 0.711
-5.231 -0.382 2.896
-13.124 3.221 0.165
-13.338 -0.308 2.158
-5.018 3.147 0.902
-4.381 1.438 -0.563
-13.838 3.656 2.349
-11.181 1.729 1.864
-7.174 1.110 1.196
-3.546 -0.589 -1.423
-2.713 2.705 0.516
-2.919 -0.696 2.437
0.000 0.000 0.000
```

Computed properties:
* space group: R-3m, No. 166
* VASP energy: -5.39 eV/atom
* magnetization: 0.0 Bohr magnetons per cell
* N(E_F): 16.11 states/eV/cell

Record 2
First-principles (PBE-GGA) data for a geometry-optimized Ac2Ni3Ge4Ir structure, as listed in Alexandria.

```
Ac2Ni3Ge4Ir
1.0
-4.156 1.044 0.399
-0.725 -1.346 -4.023
-2.001 -9.288 3.468
Ni Ir Ac Ge
3 1 2 4
Cartesian
-0.607 -1.809 -1.587
-3.834 -7.629 3.243
-1.000 -4.644 1.734
-3.440 -4.795 -0.078
-1.872 -7.682 0.606
-2.569 -1.757 1.051
-1.107 -4.128 -0.721
-3.334 -5.311 2.378
0.000 0.000 0.000
-2.440 -0.151 -1.812
```

Computed properties:
* space group: P-4m2, No. 115
* VASP energy: -5.93 eV/atom
* magnetization: 0.1 Bohr magnetons per cell
* N(E_F): 8.75 states/eV/cell

Record 3
First-principles (PBE-GGA) data for a geometry-optimized Ac2NpGe4Ir3 structure, as listed in Alexandria.

```
Ac2NpGe4Ir3
1.0
4.382 0.000 0.000
0.000 4.382 0.000
0.000 0.000 11.286
Ge Np Ac Ir
4 1 2 3
Cartesian
0.000 2.191 3.761
2.191 2.191 0.000
2.191 0.000 7.526
0.000 0.000 0.000
2.191 2.191 5.643
0.000 2.191 8.663
2.191 0.000 2.623
0.000 0.000 5.643
0.000 2.191 1.266
2.191 0.000 10.021
```

Computed properties:
* space group: P-4m2, No. 115
* VASP energy: -7.18 eV/atom
* magnetization: 3.5 Bohr magnetons per cell
* N(E_F): 12.48 states/eV/cell